First-principles (PBE) data for a relaxed structure of Cs2AsPt, as listed in the Alexandria database.

Values from the calculation:
- formation energy from the elements (eV/atom) = -0.41
- crystal system = monoclinic

The structure in CIF format:
```
data_Cs2AsPt
_chemical_formula_sum 'Cs4 As2 Pt2'
_symmetry_space_group_name_H-M 'P 1 21/m 1'
_symmetry_Int_Tables_number 11
_cell_length_a 4.514
_cell_length_b 11.070
_cell_length_c 6.392
_cell_angle_alpha 90.00
_cell_angle_beta 104.63
_cell_angle_gamma 90.00
loop_
_symmetry_equiv_pos_as_xyz
'x,y,z'
'-x,-y,-z'
'-x,y+1/2,-z'
'x,-y+1/2,z'
loop_
_atom_site_label
_atom_site_fract_x
_atom_site_fract_y
_atom_site_fract_z
Cs1 0.200 0.083 0.263
As1 0.489 0.250 0.820
Pt1 0.055 0.750 0.301
```


First-principles (PBE) data for a relaxed structure of Ca2SmIn3, as listed in the Alexandria database.

Values from the calculation:
- formation energy from the elements (eV/atom) = -0.47
- crystal system = tetragonal

The structure in CIF format:
```
data_Ca2SmIn3
_chemical_formula_sum 'Ca2 Sm1 In3'
_symmetry_space_group_name_H-M 'P 4/m m m'
_symmetry_Int_Tables_number 123
_symmetry_space_group_name_Hall '-P 4 2'
_cell_length_a 3.846
_cell_length_b 3.846
_cell_length_c 11.520
_cell_angle_alpha 90.00
_cell_angle_beta 90.00
_cell_angle_gamma 90.00
loop_
_atom_site_label
_atom_site_fract_x
_atom_site_fract_y
_atom_site_fract_z
Ca1 0.000 0.000 0.164
Sm1 0.000 0.000 0.500
In1 0.500 0.500 0.000
In2 0.500 0.500 0.334
```


First-principles (PBE) data for a relaxed structure of U2MnSe4, as listed in the Alexandria database.

Values from the calculation:
- ΔE_f (raw) (eV/atom) = -0.892
- crystal system = monoclinic

The structure in CIF format:
```
data_U2MnSe4
_chemical_formula_sum 'U4 Mn2 Se8'
_symmetry_space_group_name_H-M 'C 1 2/m 1'
_symmetry_Int_Tables_number 12
_cell_length_a 14.638
_cell_length_b 3.924
_cell_length_c 6.879
_cell_angle_alpha 90.00
_cell_angle_beta 117.63
_cell_angle_gamma 90.00
loop_
_symmetry_equiv_pos_as_xyz
'x,y,z'
'-x,-y,-z'
'-x,y,-z'
'x,-y,z'
'x+1/2,y+1/2,z'
'-x+1/2,-y+1/2,-z'
'-x+1/2,y+1/2,-z'
'x+1/2,-y+1/2,z'
loop_
_atom_site_label
_atom_site_fract_x
_atom_site_fract_y
_atom_site_fract_z
U1 0.243 0.000 0.245
Mn1 0.000 0.500 0.500
Se1 0.115 0.500 0.297
Se2 0.116 0.000 0.773
```


First-principles (PBE) data for a relaxed structure of Pm5ThPb3, as listed in the Alexandria database.

Values from the calculation:
- formation energy from the elements (eV/atom) = -0.40
- crystal system = hexagonal

The structure in CIF format:
```
data_Pm5ThPb3
_chemical_formula_sum 'Pm10 Th2 Pb6'
_symmetry_space_group_name_H-M 'P 63/m c m'
_symmetry_Int_Tables_number 193
_symmetry_space_group_name_Hall '-P 6c 2'
_cell_length_a 9.7319
_cell_length_b 9.7319
_cell_length_c 6.7029
_cell_angle_alpha 90.00
_cell_angle_beta 90.00
_cell_angle_gamma 120.00
loop_
_atom_site_label
_atom_site_fract_x
_atom_site_fract_y
_atom_site_fract_z
Pm1 0.0000 0.3265 0.2500
Pm2 0.3333 0.6667 0.0000
Th1 0.0000 0.0000 0.0000
Pb1 0.0000 0.3375 0.7500
```


First-principles (PBE) data for a relaxed structure of ZrGa2Mo2, as listed in the Alexandria database.

Values from the calculation:
- formation energy from the elements (eV/atom) = 0.00
- crystal system = tetragonal
- energy relative to the lowest polymorph listed for this composition (meV/atom) = 225.8

The structure in CIF format:
```
data_ZrGa2Mo2
_chemical_formula_sum 'Zr2 Ga4 Mo4'
_symmetry_space_group_name_H-M 'P 4/m b m'
_symmetry_Int_Tables_number 127
_symmetry_space_group_name_Hall '-P 4 2ab'
_cell_length_a 7.832
_cell_length_b 7.832
_cell_length_c 2.793
_cell_angle_alpha 90.00
_cell_angle_beta 90.00
_cell_angle_gamma 90.00
loop_
_atom_site_label
_atom_site_fract_x
_atom_site_fract_y
_atom_site_fract_z
Zr1 0.000 0.000 0.000
Ga1 0.178 0.322 0.500
Mo1 0.118 0.618 0.000
```


First-principles (PBE) data for a relaxed structure of LiHRh, as listed in the Alexandria database.

Values from the calculation:
- crystal system = orthorhombic

The structure in CIF format:
```
data_LiHRh
_chemical_formula_sum 'Li2 H2 Rh2'
_symmetry_space_group_name_H-M 'P m n 21'
_symmetry_Int_Tables_number 31
_cell_length_a 2.880
_cell_length_b 4.278
_cell_length_c 4.920
_cell_angle_alpha 90.00
_cell_angle_beta 90.00
_cell_angle_gamma 90.00
loop_
_symmetry_equiv_pos_as_xyz
'x,y,z'
'-x+1/2,-y,z+1/2'
'-x,y,z'
'x+1/2,-y,z+1/2'
loop_
_atom_site_label
_atom_site_fract_x
_atom_site_fract_y
_atom_site_fract_z
Li1 0.000 0.006 0.000
H1 0.000 0.329 0.332
Rh1 0.000 0.503 0.670
```


no.,VASP energy (Ry/atom)
1,-0.2576
2,-0.2423
3,-0.5452
4,-0.3750
5,-0.5334
6,-0.3312